Entry 1:
# K2Tl2Pt

Crystalline K2Tl2Pt at its relaxed geometry (PBE-GGA, the Alexandria database).

Properties
energy above the lowest structure with this stoichiometry	0	meV/atom
energy of formation from the pure elements	-177.3	meV per atom
crystal system	monoclinic

Cell lengths 12.7316, 5.9373, 4.4667 Å; angles 90.00, 90.04, 90.00 degrees
Closest atoms and distances in Å follow each position.
Space group C2/m (No. 12)
Symmetry-distinct sites (fractional):
K 0.1405 0.0000 0.4988  2 Pt 3.47, 1 K 3.58, 6 Tl 3.66-3.72
Tl 0.1315 0.5000 0.0000  2 Pt 2.79
Pt 0.0000 0.5000 0.5000  4 Tl 2.79

---

Entry 2:
# BeZn2Cl

Crystalline BeZn2Cl at its relaxed geometry (PBE-GGA, the Alexandria database).

Properties
energy above the lowest structure with this stoichiometry	89	meV/atom
crystal system	orthorhombic
formation energy (no corrections)	-0.004	eV/atom

Cell lengths 2.8859, 5.5997, 9.7104 Å; angles 90.00, 90.00, 90.00 degrees
Closest atoms and distances in Å follow each position.
Space group Cmm2 (No. 35)
Symmetry-distinct sites (fractional):
Be 0.0000 0.0000 0.0000  2 Cl 2.00
Zn 0.0000 0.0000 0.4342  4 Zn 2.68-2.89
Zn 0.0000 0.5000 0.2019  2 Be 2.43, 2 Zn 2.68
Cl 0.0000 0.5000 0.8569  2 Be 2.00